(1)
The following is a DFT calculation (PBE) of a geometry-optimized Hf8Co3Pt2 structure.

Unit cell a=7.979 b=7.979 c=5.334 alpha=95.08 beta=95.08 gamma=47.06
Positions (direct):
Hf  0.051  0.051  0.272
Hf  0.109  0.623  0.176
Hf  0.344  0.344  0.678
Hf  0.377  0.891  0.824
Hf  0.623  0.109  0.176
Hf  0.656  0.656  0.322
Hf  0.891  0.377  0.824
Hf  0.949  0.949  0.728
Co  0.327  0.673  0.500
Co  0.500  0.500  0.000
Co  0.673  0.327  0.500
Pt  0.227  0.227  0.244
Pt  0.773  0.773  0.756

Values from the calculation:
Energy of formation from the pure elements (eV per atom): -0.35
Space-group type: C2/m, No. 12
Crystal system: monoclinic



(2)
The following is a DFT calculation (PBE) of a geometry-optimized Pm3AlCd2 structure.

Unit cell a=3.735 b=3.735 c=11.696 alpha=90.00 beta=90.00 gamma=90.00
Positions (direct):
Pm  0.000  0.000  0.000
Pm  0.000  0.000  0.344
Pm  0.000  0.000  0.656
Al  0.500  0.500  0.500
Cd  0.500  0.500  0.170
Cd  0.500  0.500  0.830

Values from the calculation:
Energy of formation from the pure elements (eV per atom): -0.33
Space-group type: P4/mmm, No. 123
Crystal system: tetragonal
Energy relative to the lowest polymorph listed for this composition (eV per atom): 0.000



(3)
The following is a DFT calculation (PBE) of a geometry-optimized PrHoMgAg structure.

Unit cell a=7.548 b=7.548 c=7.548 alpha=90.00 beta=90.00 gamma=90.00
Positions (direct):
Pr  0.000  0.000  0.000
Pr  0.000  0.500  0.500
Pr  0.500  0.000  0.500
Pr  0.500  0.500  0.000
Ho  0.000  0.000  0.500
Ho  0.000  0.500  0.000
Ho  0.500  0.000  0.000
Ho  0.500  0.500  0.500
Mg  0.250  0.250  0.750
Mg  0.250  0.750  0.250
Mg  0.750  0.250  0.250
Mg  0.750  0.750  0.750
Ag  0.250  0.250  0.250
Ag  0.250  0.750  0.750
Ag  0.750  0.250  0.750
Ag  0.750  0.750  0.250

Values from the calculation:
Energy of formation from the pure elements (eV per atom): -0.13
Space-group type: F-43m, No. 216
Crystal system: cubic
Energy relative to the lowest polymorph listed for this composition (eV per atom): 0.049



(4)
The following is a DFT calculation (PBE) of a geometry-optimized Y2UP3Rh12 structure.

Unit cell a=7.224 b=7.224 c=7.224 alpha=69.96 beta=69.96 gamma=69.96
Positions (direct):
Y  0.098  0.098  0.098
Y  0.902  0.902  0.902
U  0.500  0.500  0.500
P  0.000  0.500  0.500
P  0.500  0.000  0.500
P  0.500  0.500  0.000
Rh  0.122  0.646  0.646
Rh  0.165  0.165  0.593
Rh  0.165  0.593  0.165
Rh  0.354  0.354  0.878
Rh  0.354  0.878  0.354
Rh  0.407  0.835  0.835
Rh  0.593  0.165  0.165
Rh  0.646  0.122  0.646
Rh  0.646  0.646  0.122
Rh  0.835  0.407  0.835
Rh  0.835  0.835  0.407
Rh  0.878  0.354  0.354

Values from the calculation:
Energy of formation from the pure elements (eV per atom): -0.37
Space-group type: R-3m, No. 166
Crystal system: trigonal



(5)
The following is a DFT calculation (PBE) of a geometry-optimized LiCaSc2Te4 structure.

Unit cell a=7.292 b=4.223 c=7.558 alpha=90.00 beta=108.76 gamma=90.00
Positions (direct):
Li  0.000  0.000  0.000
Ca  0.500  0.500  0.000
Sc  0.000  0.500  0.500
Sc  0.500  0.000  0.500
Te  0.238  0.000  0.736
Te  0.248  0.500  0.262
Te  0.752  0.500  0.738
Te  0.762  0.000  0.264

Values from the calculation:
Space-group type: P2/m, No. 10
Crystal system: monoclinic



(6)
The following is a DFT calculation (PBE) of a geometry-optimized PrSmPd2 structure.

Unit cell a=4.131 b=4.131 c=21.499 alpha=90.00 beta=90.00 gamma=120.00
Positions (direct):
Pr  0.000  0.000  0.000
Pr  0.333  0.667  0.667
Pr  0.667  0.333  0.333
Sm  0.000  0.000  0.828
Sm  0.333  0.667  0.494
Sm  0.667  0.333  0.161
Pd  0.000  0.000  0.246
Pd  0.000  0.000  0.415
Pd  0.333  0.667  0.082
Pd  0.333  0.667  0.913
Pd  0.667  0.333  0.580
Pd  0.667  0.333  0.748

Values from the calculation:
Energy of formation from the pure elements (eV per atom): -0.63
Space-group type: R3m, No. 160
Crystal system: trigonal
Energy relative to the lowest polymorph listed for this composition (eV per atom): 0.181



(7)
The following is a DFT calculation (PBE) of a geometry-optimized Pm2Sm3Er structure.

Unit cell a=6.284 b=6.284 c=11.704 alpha=90.00 beta=90.00 gamma=120.00
Positions (direct):
Pm  0.333  0.667  0.000
Pm  0.333  0.667  0.500
Pm  0.667  0.333  0.000
Pm  0.667  0.333  0.500
Sm  0.000  0.330  0.250
Sm  0.000  0.670  0.750
Sm  0.330  0.000  0.250
Sm  0.330  0.330  0.750
Sm  0.670  0.000  0.750
Sm  0.670  0.670  0.250
Er  0.000  0.000  0.000
Er  0.000  0.000  0.500

Values from the calculation:
Energy of formation from the pure elements (eV per atom): 0.00
Space-group type: P6_3/mcm, No. 193
Crystal system: hexagonal
Energy relative to the lowest polymorph listed for this composition (eV per atom): 0.005



(8)
The following is a DFT calculation (PBE) of a geometry-optimized BaTiO2F structure.

Unit cell a=4.062 b=4.062 c=4.231 alpha=90.00 beta=90.00 gamma=90.00
Positions (direct):
Ba  0.000  0.000  0.000
Ti  0.500  0.500  0.500
O  0.000  0.500  0.500
O  0.500  0.000  0.500
F  0.500  0.500  0.000

Values from the calculation:
Space-group type: P4/mmm, No. 123
Crystal system: tetragonal



(9)
The following is a DFT calculation (PBE) of a geometry-optimized SrRe2Au structure.

Unit cell a=2.813 b=5.362 c=5.164 alpha=90.00 beta=94.28 gamma=90.00
Positions (direct):
Sr  0.000  0.000  0.000
Re  0.362  0.500  0.764
Re  0.638  0.500  0.236
Au  0.500  0.000  0.500

Values from the calculation:
Energy of formation from the pure elements (eV per atom): 0.79
Space-group type: P2/m, No. 10
Crystal system: monoclinic
Energy relative to the lowest polymorph listed for this composition (eV per atom): 0.495



(10)
The following is a DFT calculation (PBE) of a geometry-optimized NaPuPbBr6 structure.

Unit cell a=6.987 b=6.987 c=13.538 alpha=90.00 beta=90.00 gamma=90.00
Positions (direct):
Na  0.000  0.000  0.000
Na  0.500  0.500  0.500
Pu  0.000  0.000  0.666
Pu  0.500  0.500  0.166
Pb  0.000  0.000  0.332
Pb  0.500  0.500  0.832
Br  0.191  0.191  0.829
Br  0.194  0.194  0.507
Br  0.207  0.207  0.163
Br  0.293  0.707  0.663
Br  0.306  0.694  0.007
Br  0.309  0.691  0.329
Br  0.691  0.309  0.329
Br  0.694  0.306  0.007
Br  0.707  0.293  0.663
Br  0.793  0.793  0.163
Br  0.806  0.806  0.507
Br  0.809  0.809  0.829

Values from the calculation:
Space-group type: P4_2nm, No. 102
Crystal system: tetragonal



(11)
The following is a DFT calculation (PBE) of a geometry-optimized CeTiAu structure.

Unit cell a=6.625 b=5.826 c=5.175 alpha=73.79 beta=57.62 gamma=48.60
Positions (direct):
Ce  0.165  0.835  0.165
Ce  0.835  0.165  0.835
Ti  0.250  0.250  0.250
Ti  0.750  0.750  0.750
Au  0.357  0.357  0.643
Au  0.643  0.643  0.357

Values from the calculation:
Energy of formation from the pure elements (eV per atom): -0.10
Space-group type: Fmmm, No. 69
Crystal system: orthorhombic
Energy relative to the lowest polymorph listed for this composition (eV per atom): 0.177



(12)
The following is a DFT calculation (PBE) of a geometry-optimized Nd6Sb2Rh structure.

Unit cell a=6.479 b=8.315 c=12.138 alpha=90.00 beta=120.44 gamma=90.00
Positions (direct):
Nd  0.088  0.181  0.455
Nd  0.088  0.319  0.955
Nd  0.317  0.677  0.457
Nd  0.317  0.823  0.957
Nd  0.367  0.023  0.246
Nd  0.367  0.477  0.746
Nd  0.633  0.523  0.254
Nd  0.633  0.977  0.754
Nd  0.683  0.177  0.043
Nd  0.683  0.323  0.543
Nd  0.912  0.681  0.045
Nd  0.912  0.819  0.545
Sb  0.159  0.115  0.750
Sb  0.159  0.385  0.250
Sb  0.841  0.615  0.750
Sb  0.841  0.885  0.250
Rh  0.500  0.000  0.500
Rh  0.500  0.500  0.000

Values from the calculation:
Space-group type: P2_1/c, No. 14
Crystal system: monoclinic



One value per record, in order, for VASP energy: -117.63, -21.83, -57.33, -135.41, -39.36, -67.25, -56.39, -36.78, -26.69, -82.40, -34.79, -100.32 eV for the cell shown.